First-principles (PBE with a Hubbard U) data for crystalline KBeNiO2 at its relaxed geometry, as listed in Alexandria.

## Properties
Theoretical density ... 3.36 Mg/m³
Total moment ... 0.200 μB/atom
Electronic total energy ... -4.74 eV/atom
Crystal system ... monoclinic
SG ... P2/c (13)

Geometry as POSCAR:
```
KBeNiO2
1.0
-1.198 0.982 3.282
-0.654 -5.763 1.485
6.045 0.941 1.925
O Be K Ni
4 2 2 2
Cartesian
1.992 -3.954 2.989
2.201 0.114 3.704
4.461 -3.030 5.469
-0.268 -0.810 1.223
3.023 0.470 0.963
0.000 0.000 0.000
3.931 -1.950 2.941
0.262 -1.890 3.751
3.922 1.207 3.121
0.925 0.715 2.086
```